Version w
The following is a PBE calculation of a geometry-optimized LiOs2Au structure, from the Alexandria database.

The space group is Pmmm (No. 47) and the conventional cell measures 2.745, 4.515 and 4.833 Å, with angles of 90.00, 90.00 and 90.00 degrees. The inequivalent atoms are Li at (0.000, 0.000, 0.000), Os at (0.000, 0.500, 0.500), Os at (0.500, 0.000, 0.500) and Au at (0.500, 0.500, 0.000).

=====

Version x
The following is a PBE calculation of a geometry-optimized LiOs2Au structure, from the Alexandria database.

The space group is R-3m (No. 166, hexagonal axes) and the conventional cell measures 2.7043, 2.7043 and 28.7850 Å, with angles of 90.00, 90.00 and 120.00 degrees. The inequivalent atoms are Li at (0.0000, 0.0000, 0.0000), Os at (0.0000, 0.0000, 0.2536) and Au at (0.0000, 0.0000, 0.5000).

=====

Most favorable first, least favorable last: version w, version x

=====

Version w
The following is a PBE calculation of a geometry-optimized AlZnTe structure, from the Alexandria database.

The space group is P3m1 (No. 156) and the conventional cell measures 3.9645, 3.9645 and 5.1677 Å, with angles of 90.00, 90.00 and 120.00 degrees. The inequivalent atoms are Al at (0.0000, 0.0000, 0.0000), Zn at (0.3333, 0.6667, 0.6992) and Te at (0.6667, 0.3333, 0.3143).

=====

Version x
The following is a PBE calculation of a geometry-optimized AlZnTe structure, from the Alexandria database.

The space group is Fmm2 (No. 42) and the conventional cell measures 4.185, 5.445 and 11.664 Å, with angles of 90.00, 90.00 and 90.00 degrees. The inequivalent atoms are Al at (0.000, 0.000, 0.000), Zn at (0.000, 0.000, 0.360) and Te at (0.000, 0.000, 0.673).

=====

Most favorable first, least favorable last: version w, version x

=====

Version w
The following is a PBE calculation of a geometry-optimized K2CaW structure, from the Alexandria database.

The space group is Cmmm (No. 65) and the conventional cell measures 3.594, 5.092 and 13.545 Å, with angles of 90.00, 90.00 and 90.00 degrees. The inequivalent atoms are K at (0.000, 0.000, 0.217), Ca at (0.000, 0.500, 0.500) and W at (0.000, 0.500, 0.000).

=====

Version x
The following is a PBE calculation of a geometry-optimized K2CaW structure, from the Alexandria database.

The space group is C2/m (No. 12) and the conventional cell measures 21.048, 3.070 and 5.328 Å, with angles of 90.00, 104.47 and 90.00 degrees. The inequivalent atoms are K at (0.155, 0.000, 0.154), Ca at (0.000, 0.000, 0.500) and W at (0.000, 0.500, 0.000).

=====

Most favorable first, least favorable last: version x, version w

=====

Version w
The following is a PBE calculation of a geometry-optimized YTm3Cu2 structure, from the Alexandria database.

The space group is Ibam (No. 72) and the conventional cell measures 6.727, 13.291 and 7.083 Å, with angles of 90.00, 90.00 and 90.00 degrees. The inequivalent atoms are Y at (0.000, 0.000, 0.000), Tm at (0.000, 0.235, 0.250), Tm at (0.000, 0.500, 0.250) and Cu at (0.207, 0.357, 0.000).

=====

Version x
The following is a PBE calculation of a geometry-optimized YTm3Cu2 structure, from the Alexandria database.

The space group is Pmc2_1 (No. 26) and the conventional cell measures 4.839, 8.579 and 6.887 Å, with angles of 90.00, 90.00 and 90.00 degrees. The inequivalent atoms are Y at (0.000, 0.075, 0.000), Tm at (0.000, 0.335, 0.628), Tm at (0.500, 0.170, 0.340), Tm at (0.500, 0.425, 0.966), Cu at (0.000, 0.351, 0.229) and Cu at (0.500, 0.151, 0.739).

=====

Most favorable first, least favorable last: version x, version w

=====

Version w
The following is a PBE calculation of a geometry-optimized Hf2BeSi structure, from the Alexandria database.

The space group is Fm-3m (No. 225) and the conventional cell measures 6.412, 6.412 and 6.412 Å, with angles of 90.00, 90.00 and 90.00 degrees. The inequivalent atoms are Hf at (0.250, 0.250, 0.250), Be at (0.000, 0.000, 0.000) and Si at (0.000, 0.000, 0.500).

=====

Version x
The following is a PBE calculation of a geometry-optimized Hf2BeSi structure, from the Alexandria database.

The space group is P2_1/m (No. 11) and the conventional cell measures 5.219, 3.583 and 7.450 Å, with angles of 90.00, 109.74 and 90.00 degrees. The inequivalent atoms are Hf at (0.212, 0.250, 0.423), Hf at (0.275, 0.750, 0.068), Be at (0.145, 0.250, 0.784) and Si at (0.355, 0.750, 0.715).

=====

Most favorable first, least favorable last: version x, version w